(1)
# LaTc3Ge

A geometry-optimized LaTc3Ge structure (PBEsol, the Alexandria database).

Unit cell a=4.6202 b=4.6202 c=4.6202 alpha=90.00 beta=90.00 gamma=90.00
Last column: nearest neighbours and their distance in Å.
Fractional positions:
Tc  0.0000  0.5000  0.0000  2 Ge 2.31
Tc  0.5000  0.0000  0.0000  2 Ge 2.31
Tc  0.0000  0.0000  0.5000  2 Ge 2.31
La  0.5000  0.5000  0.5000  12 Tc 3.27
Ge  0.0000  0.0000  0.0000  6 Tc 2.31

Space group ... Pm-3m, No. 221
Raw total energy ... -8.0588 eV/atom



(2)
# NiBrCl2

A geometry-optimized NiBrCl2 structure (PBEsol, the Alexandria database).

Unit cell a=3.2916 b=3.2916 c=9.6517 alpha=80.18 beta=80.18 gamma=60.00
Last column: nearest neighbours and their distance in Å.
Fractional positions:
Cl  0.2135  0.2135  0.3595  3 Ni 2.32
Cl  0.7865  0.7865  0.6405  3 Ni 2.32
Br  0.0000  0.0000  0.0000  6 Br 3.29
Ni  0.5000  0.5000  0.5000  6 Cl 2.32

Space group ... R-3m, No. 166
Polymorph energy (0 for the lowest one) ... 0.0 meV/atom
Formation energy without anion corrections ... -0.276 eV per atom